1.
The following is a DFT calculation (GGA-PBE) of an optimized crystal structure of ReOsSe2.

Values from the calculation:
The value obtained for the volume is 203.1 Å³ per cell. The calculation puts the magnetic moment at 0.0 μB per formula unit.

a b c (Å): 3.0531 3.0531 25.1537
angles (deg): 90.00 90.00 120.00
Space group R-3m (No. 166, hexagonal axes)
Symmetry-distinct sites (fractional):
Re 0.0000 0.0000 0.0000 [3 per cell]
Os 0.0000 0.0000 0.5000 [3 per cell]
Se 0.0000 0.0000 0.4061 [6 per cell]


2.
The following is a DFT calculation (GGA-PBE) of an optimized crystal structure of ReOsSe2.

Values from the calculation:
The value obtained for the volume is 65.0 Å³ per cell. The calculation puts the magnetic moment at 0.1 μB per formula unit.

a b c (Å): 2.9350 4.4113 5.0202
angles (deg): 90.00 90.00 90.00
Space group Pmmm (No. 47)
Symmetry-distinct sites (fractional):
Re 0.0000 0.0000 0.0000 [1 per cell]
Os 0.5000 0.0000 0.5000 [1 per cell]
Se 0.0000 0.5000 0.5000 [1 per cell]
Se 0.5000 0.5000 0.0000 [1 per cell]


Unit: meV per atom. Relative energies: 1 0; 2 513.